1.
## Tb8Pm4Th (PBE)

Data for Tb8Pm4Th after structural relaxation.

abc: 7.818 7.818 7.818
angles: 90.07 90.07 90.07
Last column: magnetic moment on the atom in μB.
Fractional positions:
Tb (0.241, 0.759, 0.241)  0.07
Tb (0.759, 0.759, 0.241)  0.07
Tb (0.759, 0.241, 0.759)  0.07
Tb (0.241, 0.759, 0.759)  0.07
Tb (0.759, 0.759, 0.759)  0.07
Tb (0.241, 0.241, 0.241)  0.07
Tb (0.759, 0.241, 0.241)  0.07
Tb (0.241, 0.241, 0.759)  0.07
Pm (0.500, 0.000, 0.500)  0.14
Pm (0.000, 0.500, 0.500)  0.14
Pm (0.500, 0.500, 0.000)  0.14
Pm (0.000, 0.000, 0.000)  -0.07
Th (0.500, 0.500, 0.500)  0.07

---

2.
## TbPm2Th (PBE)

Data for TbPm2Th after structural relaxation.

Values from the calculation:
* excess energy over the best structure of this formula in the dataset: 45 meV per atom

abc: 5.103 5.095 5.095
angles: 90.00 90.00 90.00
Fractional positions:
Tb (0.500, 0.500, 0.500)
Th (0.500, 0.000, 0.000)
Pm (0.000, 0.000, 0.500)
Pm (0.000, 0.500, 0.000)

---

3.
## Tb5Pm4Th2 (PBE)

Data for Tb5Pm4Th2 after structural relaxation.

Values from the calculation:
* excess energy over the best structure of this formula in the dataset: 0 meV per atom

abc: 3.602 9.518 15.261
angles: 79.76 135.07 100.73
Fractional positions:
Tb (0.690, 0.548, 0.639)
Tb (0.310, 0.452, 0.361)
Tb (0.144, 0.905, 0.731)
Tb (0.500, 0.000, 0.000)
Tb (0.856, 0.095, 0.269)
Pm (0.226, 0.178, 0.545)
Pm (0.388, 0.722, 0.176)
Pm (0.774, 0.822, 0.455)
Pm (0.612, 0.278, 0.824)
Th (0.040, 0.634, 0.908)
Th (0.960, 0.366, 0.092)

---

4.
## Tb12Pm7Th (PBE)

Data for Tb12Pm7Th after structural relaxation.

Values from the calculation:
* excess energy over the best structure of this formula in the dataset: 434 meV per atom

abc: 9.828 9.828 9.828
angles: 109.47 109.47 109.47
Fractional positions:
Tb (0.514, 0.757, 0.757)
Tb (0.000, 0.757, 0.243)
Tb (0.486, 0.243, 0.243)
Tb (0.000, 0.243, 0.757)
Tb (0.757, 0.000, 0.243)
Tb (0.757, 0.514, 0.757)
Tb (0.243, 0.000, 0.757)
Tb (0.243, 0.486, 0.243)
Tb (0.757, 0.757, 0.514)
Tb (0.243, 0.243, 0.486)
Tb (0.757, 0.243, 0.000)
Tb (0.243, 0.757, 0.000)
Pm (0.500, 0.500, 0.000)
Pm (0.000, 0.500, 0.500)
Pm (0.500, 0.000, 0.500)
Pm (0.500, 0.500, 0.500)
Pm (0.000, 0.000, 0.500)
Pm (0.500, 0.000, 0.000)
Pm (0.000, 0.500, 0.000)
Th (0.000, 0.000, 0.000)

---

5.
## Tb3Pm3Th2 (PBE)

Data for Tb3Pm3Th2 after structural relaxation.

Values from the calculation:
* excess energy over the best structure of this formula in the dataset: 0 meV per atom

abc: 5.073 5.079 10.871
angles: 103.51 103.49 90.00
Fractional positions:
Tb (0.128, 0.128, 0.256)
Tb (0.000, 0.500, 0.000)
Tb (0.872, 0.872, 0.744)
Pm (0.628, 0.628, 0.257)
Pm (0.372, 0.372, 0.743)
Pm (0.500, 0.000, 0.000)
Th (0.750, 0.250, 0.499)
Th (0.250, 0.750, 0.501)

---

6.
## Tb5Pm4Th2 (PBE)

Data for Tb5Pm4Th2 after structural relaxation.

Values from the calculation:
* excess energy over the best structure of this formula in the dataset: 450 meV per atom

abc: 3.426 9.262 13.364
angles: 110.28 97.36 90.00
Fractional positions:
Tb (0.844, 0.166, 0.688)
Tb (0.844, 0.522, 0.688)
Tb (0.156, 0.478, 0.312)
Tb (0.156, 0.834, 0.312)
Tb (0.500, 0.000, 0.000)
Pm (0.000, 0.319, 0.000)
Pm (0.761, 0.761, 0.523)
Pm (0.000, 0.681, 0.000)
Pm (0.239, 0.239, 0.477)
Th (0.893, 0.893, 0.785)
Th (0.107, 0.107, 0.215)

---

7.
## Tb8Pm3Th2 (PBE)

Data for Tb8Pm3Th2 after structural relaxation.

abc: 14.658 9.678 15.443
angles: 85.42 96.59 156.02
Fractional positions:
Tb (0.621, 0.922, 0.134)
Tb (0.609, 0.814, 0.364)
Tb (0.880, 0.958, 0.775)
Tb (0.849, 0.540, 0.857)
Tb (0.618, 0.190, 0.282)
Tb (0.630, 0.497, 0.425)
Tb (0.078, 0.877, 0.444)
Tb (0.863, 0.188, 0.936)
Tb (0.137, 0.812, 0.064)
Tb (0.922, 0.123, 0.556)
Tb (0.120, 0.042, 0.225)
Tb (0.382, 0.810, 0.718)
Tb (0.151, 0.460, 0.143)
Tb (0.370, 0.503, 0.575)
Tb (0.391, 0.186, 0.636)
Tb (0.379, 0.078, 0.866)
Pm (0.639, 0.586, 0.197)
Pm (0.500, 0.000, 0.500)
Pm (0.878, 0.323, 0.705)
Pm (0.122, 0.677, 0.295)
Pm (0.000, 0.000, 0.000)
Pm (0.361, 0.414, 0.803)
Th (0.635, 0.283, 0.070)
Th (0.890, 0.704, 0.639)
Th (0.110, 0.296, 0.361)
Th (0.365, 0.717, 0.930)

---

8.
## Tb8PmTh6 (PBE)

Data for Tb8PmTh6 after structural relaxation.

abc: 8.774 8.774 8.774
angles: 60.72 60.72 60.72
Fractional positions:
Tb (0.121, 0.672, 0.806)
Tb (0.194, 0.879, 0.328)
Tb (0.328, 0.194, 0.879)
Tb (0.581, 0.581, 0.581)
Tb (0.419, 0.419, 0.419)
Tb (0.672, 0.806, 0.121)
Tb (0.806, 0.121, 0.672)
Tb (0.879, 0.328, 0.194)
Pm (0.000, 0.000, 0.000)
Th (0.928, 0.465, 0.733)
Th (0.267, 0.072, 0.535)
Th (0.535, 0.267, 0.072)
Th (0.465, 0.733, 0.928)
Th (0.733, 0.928, 0.465)
Th (0.072, 0.535, 0.267)

---

Listing DOS(E_F) for the structures above in their given order: 1.7793, 1.2064, 1.3402, 1.5503, 1.1575, 1.5683, 1.4702, 1.8004 states/eV/atom.
Listing density for the structures above in their given order: 7.2, 8.5, 8.4, 7.2, 8.6, 7.7, 8.2, 9.6 g/cm³.
Listing ΔH_f (0 K) for the structures above in their given order: 509, 51, 25, 669, 31, 475, 145, 161 meV per atom.